Entry from Alexandria: a relaxed structure of CaTcW2 (PBE).

a = 5.4966 Å, b = 5.4966 Å, c = 5.4966 Å
α = 147.10°, β = 126.94°, γ = 63.86°
Atoms (fractional coordinates):
1 Ca 0.4942 0.4942 0.0000
2 Tc 0.2287 0.7287 0.5000
3 W 0.0065 0.0065 0.0000
4 W 0.7706 0.2706 0.5000

Summary:
Energy above the most stable polymorph in this dataset   0.1849 eV/atom
Final energy   -35.6 eV for the cell shown
Space-group type   No. 44
Crystal system   orthorhombic



Entry from Alexandria: a relaxed structure of CoIBr2 (PBE).

a = 7.0447 Å, b = 6.3641 Å, c = 6.3641 Å
α = 60.63°, β = 89.30°, γ = 90.70°
Atoms (fractional coordinates):
1 Co 0.4784 0.5855 0.5248
2 Co 0.4784 0.9147 0.8540
3 I 0.2676 0.2435 0.8433
4 I 0.2676 0.5962 0.1960
5 Br 0.6762 0.6253 0.8142
6 Br 0.6680 0.8857 0.1822
7 Br 0.6680 0.2573 0.5538
8 Br 0.2908 0.8849 0.5546

Summary:
Energy above the most stable polymorph in this dataset   0.0000 eV/atom
Formation energy from raw total energies   -244 meV/atom
Final energy   -26.0 eV for the cell shown
Space-group type   No. 8
Crystal system   monoclinic



Entry from Alexandria: a relaxed structure of CuHg2Pd2 (PBE).

a = 6.6366 Å, b = 6.6366 Å, c = 4.1853 Å
α = 90.00°, β = 90.00°, γ = 90.00°
Atoms (fractional coordinates):
1 Cu 0.0000 0.0000 0.0000
2 Cu 0.5000 0.5000 0.0000
3 Hg 0.1651 0.6651 0.5000
4 Hg 0.6651 0.8349 0.5000
5 Hg 0.8349 0.3349 0.5000
6 Hg 0.3349 0.1651 0.5000
7 Pd 0.3570 0.8570 0.0000
8 Pd 0.8570 0.6430 0.0000
9 Pd 0.6430 0.1430 0.0000
10 Pd 0.1430 0.3570 0.0000

Summary:
Energy above the most stable polymorph in this dataset   0.0000 eV/atom
Final energy   -30.4 eV for the cell shown
Space-group type   No. 127
Crystal system   tetragonal



Entry from Alexandria: a relaxed structure of MgSiSn (PBE).

a = 7.2515 Å, b = 4.1312 Å, c = 9.7066 Å
α = 90.00°, β = 106.81°, γ = 90.00°
Atoms (fractional coordinates):
1 Mg 0.8168 0.0000 0.7276
2 Mg 0.1832 0.0000 0.2724
3 Mg 0.8168 0.5000 0.2276
4 Mg 0.1832 0.5000 0.7724
5 Si 0.8555 0.0000 0.0382
6 Si 0.1445 0.0000 0.9618
7 Si 0.8555 0.5000 0.5382
8 Si 0.1445 0.5000 0.4618
9 Sn 0.3690 0.0000 0.6020
10 Sn 0.6310 0.0000 0.3980
11 Sn 0.3690 0.5000 0.1020
12 Sn 0.6310 0.5000 0.8980

Summary:
Energy above the most stable polymorph in this dataset   0.0100 eV/atom
Formation energy from raw total energies   25 meV/atom
Final energy   -43.8 eV for the cell shown
Space-group type   No. 12
Crystal system   monoclinic